Entry 1:
First-principles (GGA-PBE) data for a relaxed structure of HfPd2Cl, as listed in Alexandria.

Properties
Uncorrected formation energy ... -0.331 eV/atom
Symmetry ... I-42d
ΔE to the lowest computed polymorph ... 0.00 eV/f.u.

Unit cell a=7.473 b=7.473 c=5.921 alpha=50.87 beta=50.87 gamma=90.00
Element x y z (fractional)
Pd 0.630 0.125 0.250
Pd 0.375 0.370 0.750
Pd 0.120 0.625 0.250
Pd 0.875 0.880 0.750
Hf 0.750 0.250 0.500
Hf 0.000 0.000 0.000
Cl 0.250 0.750 0.500
Cl 0.500 0.500 0.000

=====

Entry 2:
First-principles (GGA-PBE) data for a relaxed structure of BaCaPmCd, as listed in Alexandria.

Properties
Symmetry ... F-43m
Formation energy ... 0.14 eV/f.u.

Unit cell a=5.923 b=5.923 c=5.923 alpha=60.00 beta=60.00 gamma=60.00
Element x y z (fractional)
Ba 0.000 0.000 0.000
Ca 0.250 0.250 0.250
Pm 0.500 0.500 0.500
Cd 0.750 0.750 0.750

=====

Entry 3:
First-principles (GGA-PBE) data for a relaxed structure of PmHo6Zn2, as listed in Alexandria.

Properties
Symmetry ... C2/m
ΔE to the lowest computed polymorph ... 0.00 eV/f.u.
Formation energy ... -1.27 eV/f.u.

Unit cell a=3.618 b=6.465 c=11.501 alpha=75.66 beta=80.95 gamma=73.75
Element x y z (fractional)
Pm 0.000 0.000 0.000
Ho 0.022 0.289 0.667
Ho 0.310 0.507 0.874
Ho 0.687 0.214 0.412
Ho 0.978 0.711 0.333
Ho 0.690 0.493 0.126
Ho 0.313 0.786 0.588
Zn 0.652 0.909 0.788
Zn 0.348 0.091 0.212

=====

| no. | V (Å³/cell) |
| --- | --- |
| 1 | 149.1 |
| 2 | 146.9 |
| 3 | 249.1 |